# 1
Na2HfVO6 after structural relaxation. Source: Alexandria, functional PBE+U.

Unit cell a=6.321 b=6.321 c=5.442 alpha=90.00 beta=90.00 gamma=120.00
Atoms (fractional coordinates):
Na: 0.333 0.667 0.129
Na: 0.667 0.333 0.871
Hf: 0.000 0.000 0.500
V: 0.000 0.000 0.000
O: 0.134 0.268 0.224
O: 0.134 0.866 0.224
O: 0.268 0.134 0.776
O: 0.732 0.866 0.224
O: 0.866 0.134 0.776
O: 0.866 0.732 0.776

Values from the calculation:
**E**: -69.44 eV/cell
**Total magnetic moment**: 0.103 μB per atom

=====

# 2
NaHfV2O8 after structural relaxation. Source: Alexandria, functional PBE+U.

Unit cell a=5.868 b=5.868 c=5.868 alpha=105.98 beta=105.98 gamma=116.70
Atoms (fractional coordinates):
Na: 0.000 0.000 0.000
Hf: 0.250 0.750 0.500
V: 0.500 0.500 0.000
V: 0.750 0.250 0.500
O: 0.343 0.138 0.795
O: 0.343 0.548 0.205
O: 0.377 0.057 0.320
O: 0.452 0.657 0.795
O: 0.737 0.057 0.680
O: 0.862 0.657 0.205
O: 0.943 0.263 0.320
O: 0.943 0.623 0.680

Values from the calculation:
**E**: -90.93 eV/cell
**Total magnetic moment**: 0.088 μB per atom

=====

# 3
NaHfWO6 after structural relaxation. Source: Alexandria, functional PBE+U.

Unit cell a=4.971 b=4.971 c=9.660 alpha=90.00 beta=90.00 gamma=90.00
Atoms (fractional coordinates):
Na: 0.000 0.000 0.000
Na: 0.500 0.500 0.500
Hf: 0.000 0.000 0.664
Hf: 0.500 0.500 0.164
W: 0.000 0.000 0.336
W: 0.500 0.500 0.836
O: 0.176 0.176 0.490
O: 0.209 0.209 0.200
O: 0.227 0.227 0.805
O: 0.273 0.727 0.305
O: 0.291 0.709 0.700
O: 0.324 0.676 0.990
O: 0.676 0.324 0.990
O: 0.709 0.291 0.700
O: 0.727 0.273 0.305
O: 0.773 0.773 0.805
O: 0.791 0.791 0.200
O: 0.824 0.824 0.490

Values from the calculation:
**E**: -137.57 eV/cell
**Total magnetic moment**: 0.112 μB per atom